Arrangement i

# PmCdGe, relaxed, DFT PBE
data_PmCdGe
_symmetry_space_group_name_H-M 'P 3 m 1'
_symmetry_Int_Tables_number 156
_cell_length_a 4.5000
_cell_length_b 4.5000
_cell_length_c 4.1830
_cell_angle_alpha 90.00
_cell_angle_beta 90.00
_cell_angle_gamma 120.00
loop_
_symmetry_equiv_pos_as_xyz
'x,y,z'
'-y,x-y,z'
'-x+y,-x,z'
'-y,-x,z'
'-x+y,y,z'
'x,x-y,z'
loop_
_atom_site_label
_atom_site_type_symbol
_atom_site_fract_x
_atom_site_fract_y
_atom_site_fract_z
_atom_site_occupancy
Pm1 Pm 0.0000 0.0000 0.0000 1
Cd1 Cd 0.6667 0.3333 0.4604 1
Ge1 Ge 0.3333 0.6667 0.5997 1
# N(E_F): 1.4 states/eV/cell
# magnetization: 0.00 Bohr magnetons per cell

Arrangement ii

# PmCdGe, relaxed, DFT PBE
data_PmCdGe
_symmetry_space_group_name_H-M 'F -4 3 m'
_symmetry_Int_Tables_number 216
_symmetry_space_group_name_Hall 'F -4 2 3'
_cell_length_a 6.7704
_cell_length_b 6.7704
_cell_length_c 6.7704
_cell_angle_alpha 90.00
_cell_angle_beta 90.00
_cell_angle_gamma 90.00
loop_
_atom_site_label
_atom_site_type_symbol
_atom_site_fract_x
_atom_site_fract_y
_atom_site_fract_z
_atom_site_occupancy
Pm1 Pm 0.0000 0.0000 0.0000 1
Cd1 Cd 0.0000 0.0000 0.5000 1
Ge1 Ge 0.2500 0.2500 0.7500 1
# N(E_F): 6.1 states/eV/cell
# magnetization: 0.00 Bohr magnetons per cell

Arrangement iii

# PmCdGe, relaxed, DFT PBE
data_PmCdGe
_symmetry_space_group_name_H-M 'C m c m'
_symmetry_Int_Tables_number 63
_symmetry_space_group_name_Hall '-C 2c 2'
_cell_length_a 3.4748
_cell_length_b 17.5966
_cell_length_c 5.0004
_cell_angle_alpha 90.00
_cell_angle_beta 90.00
_cell_angle_gamma 90.00
loop_
_atom_site_label
_atom_site_type_symbol
_atom_site_fract_x
_atom_site_fract_y
_atom_site_fract_z
_atom_site_occupancy
Pm1 Pm 0.0000 0.1533 0.2500 1
Cd1 Cd 0.0000 0.4691 0.2500 1
Ge1 Ge 0.0000 0.3195 0.2500 1
# N(E_F): 5.9 states/eV/cell
# magnetization: 0.00 Bohr magnetons per cell

Q: Which of them is the least stable? A: arrangement iii.